No. 1
This record from Alexandria describes PmPrCoNi after structural relaxation. The functional is PBE.

Output
crystal system	orthorhombic
M_tot	0.0	μB per cell
total energy	-23.1	eV/cell

Cell lengths 3.9425, 3.9907, 5.8946 Å; angles 90.00, 109.54, 90.00 degrees
Last column: nearest neighbours and their distance in Å.
Fractional positions:
1 Pr 0.8598 0.5000 0.7196  4 Co 2.93, 3 Ni 3.02-3.27
2 Pm 0.1385 0.0000 0.2769  4 Ni 2.92, 2 Co 2.99
3 Ni 0.5659 0.5000 0.1318  2 Co 2.46
4 Co 0.4358 0.0000 0.8717  2 Ni 2.46

=====

No. 2
This record from Alexandria describes KTePS2 after structural relaxation. The functional is PBE.

Output
crystal system	tetragonal
M_tot	3.8	μB per cell
raw formation energy	34.1	kcal/mol of atoms

Cell lengths 5.4867, 5.4867, 5.7883 Å; angles 90.00, 90.00, 90.00 degrees
Last column: nearest neighbours and their distance in Å.
Fractional positions:
1 Te 0.5000 0.5000 0.5000  4 P 3.88, 8 S 3.99
2 K 0.0000 0.0000 0.0000  4 S 2.74, 2 P 2.89
3 S 0.0000 0.5000 0.0000  2 K 2.74
4 P 0.0000 0.0000 0.5000  2 K 2.89
5 S 0.5000 0.0000 0.0000  2 K 2.74

=====

No. 3
This record from Alexandria describes AcCo2Ge4 after structural relaxation. The functional is PBE.

Output
crystal system	orthorhombic
M_tot	0.0	μB per cell
total energy	-156.0	eV/cell

Cell lengths 4.0305, 6.6001, 19.4554 Å; angles 90.00, 90.00, 90.00 degrees
Last column: nearest neighbours and their distance in Å.
Fractional positions:
1 Ge 0.7500 0.6343 0.9772  3 Co 2.40-2.61
2 Ac 0.7500 0.0322 0.6381  8 Ge 3.09-3.32, 1 Co 3.40
3 Ge 0.2500 0.6455 0.6485  3 Co 2.39-2.41
4 Ge 0.2500 0.4839 0.4382  4 Co 2.44-2.65
5 Ac 0.7500 0.4678 0.1381  8 Ge 3.09-3.32, 1 Co 3.40
6 Ge 0.2500 0.8545 0.1485  3 Co 2.39-2.41
7 Co 0.7500 0.2611 0.4714  7 Ge 2.40-2.61
8 Co 0.7500 0.9831 0.1980  6 Ge 2.39-2.65
9 Ge 0.7500 0.6958 0.2767  3 Co 2.44-2.50, 1 Ge 2.68
10 Ge 0.7500 0.8657 0.4772  3 Co 2.40-2.61
11 Co 0.7500 0.2389 0.9714  7 Ge 2.40-2.61
12 Ge 0.7500 0.9839 0.0618  4 Co 2.44-2.65
13 Ge 0.2500 0.3657 0.0228  3 Co 2.40-2.61
14 Ge 0.2500 0.3042 0.7233  3 Co 2.44-2.50, 1 Ge 2.68
15 Ge 0.7500 0.5161 0.5618  4 Co 2.44-2.65
16 Ge 0.2500 0.0161 0.9382  4 Co 2.44-2.65
17 Ge 0.7500 0.1455 0.8515  3 Co 2.39-2.41
18 Ge 0.2500 0.1958 0.2233  3 Co 2.44-2.50, 1 Ge 2.68
19 Ge 0.7500 0.8042 0.7767  3 Co 2.44-2.50, 1 Ge 2.68
20 Ge 0.7500 0.3545 0.3515  3 Co 2.39-2.41
21 Co 0.2500 0.0169 0.8020  6 Ge 2.39-2.65
22 Co 0.2500 0.7389 0.5286  7 Ge 2.40-2.61
23 Ac 0.2500 0.5322 0.8619  8 Ge 3.09-3.32, 1 Co 3.40
24 Co 0.2500 0.7611 0.0286  7 Ge 2.40-2.61
25 Ge 0.2500 0.1343 0.5228  3 Co 2.40-2.61
26 Co 0.7500 0.5169 0.6980  6 Ge 2.39-2.65
27 Co 0.2500 0.4831 0.3020  6 Ge 2.39-2.65
28 Ac 0.2500 0.9678 0.3619  8 Ge 3.09-3.32, 1 Co 3.40

=====

No. 4
This record from Alexandria describes LaAlO3 after structural relaxation. The functional is PBE.

Output
crystal system	orthorhombic
M_tot	0.0	μB per cell
raw formation energy	-67.7	kcal/mol of atoms

Cell lengths 7.0305, 7.0305, 4.9527 Å; angles 90.00, 90.00, 135.39 degrees
Last column: nearest neighbours and their distance in Å.
Fractional positions:
1 Al 0.9121 0.0879 0.7500  4 O 1.69-1.79
2 La 0.3207 0.6793 0.2500  2 O 2.25
3 O 0.0000 0.0000 0.0000  2 Al 1.69
4 O 0.4290 0.0668 0.2500  1 Al 1.79
5 Al 0.0879 0.9121 0.2500  4 O 1.69-1.79
6 O 0.5710 0.9332 0.7500  1 Al 1.79
7 O 0.0668 0.4290 0.7500  1 Al 1.79
8 O 0.0000 0.0000 0.5000  2 Al 1.69
9 La 0.6793 0.3207 0.7500  2 O 2.25
10 O 0.9332 0.5710 0.2500  1 Al 1.79

=====

No. 5
This record from Alexandria describes Ac12Ge3Ir5 after structural relaxation. The functional is PBE.

Output
crystal system	cubic
M_tot	0.0	μB per cell
total energy	-460.9	eV/cell

Cell lengths 15.7349, 15.7349, 15.7349 Å; angles 109.47, 109.47, 109.47 degrees
Last column: nearest neighbours and their distance in Å.
Fractional positions:
1 Ir 0.0000 0.5000 0.5000  6 Ac 2.99
2 Ir 0.5000 0.5000 0.0000  6 Ac 2.99
3 Ir 0.1250 0.7500 0.3750  4 Ac 2.79
4 Ac 0.6756 0.4644 0.5907  2 Ir 2.79-2.99
5 Ac 0.1262 0.7112 0.5356  2 Ir 2.79-2.99
6 Ac 0.9093 0.0850 0.8738  2 Ir 2.79-2.99
7 Ir 0.0000 0.0000 0.5000  6 Ac 2.99
8 Ge 0.1250 0.8750 0.7500  8 Ac 3.44-3.51
9 Ac 0.9093 0.8244 0.5356  2 Ir 2.79-2.99
10 Ac 0.3738 0.4093 0.0850  2 Ir 2.79-2.99
11 Ge 0.1250 0.2500 0.8750  8 Ac 3.44-3.51
12 Ac 0.4093 0.3738 0.5850  2 Ir 2.79-2.99
13 Ac 0.4150 0.2888 0.3244  2 Ir 2.79-2.99
14 Ac 0.2112 0.6756 0.0850  2 Ir 2.79-2.99
15 Ir 0.5000 0.5000 0.5000  6 Ac 2.99
16 Ge 0.2500 0.1250 0.3750  8 Ac 3.44-3.51
17 Ac 0.8244 0.9093 0.0356  2 Ir 2.79-2.99
18 Ac 0.5356 0.3244 0.9093  2 Ir 2.79-2.99
19 Ac 0.0356 0.4093 0.8244  2 Ir 2.79-2.99
20 Ac 0.9644 0.3738 0.2888  2 Ir 2.79-2.99
21 Ir 0.5000 0.0000 0.5000  6 Ac 2.99
22 Ac 0.5907 0.6262 0.4150  2 Ir 2.79-2.99
23 Ac 0.2112 0.5356 0.6262  2 Ir 2.79-2.99
24 Ac 0.0850 0.1756 0.2112  2 Ir 2.79-2.99
25 Ac 0.4150 0.1262 0.5907  2 Ir 2.79-2.99
26 Ir 0.8750 0.6250 0.7500  4 Ac 2.79
27 Ac 0.0850 0.9093 0.3738  2 Ir 2.79-2.99
28 Ac 0.1756 0.0850 0.7112  2 Ir 2.79-2.99
29 Ac 0.5850 0.8738 0.4093  2 Ir 2.79-2.99
30 Ir 0.8750 0.2500 0.6250  4 Ac 2.79
31 Ac 0.2888 0.4150 0.8244  2 Ir 2.79-2.99
32 Ir 0.3750 0.2500 0.1250  4 Ac 2.79
33 Ac 0.6262 0.0356 0.2112  2 Ir 2.79-2.99
34 Ir 0.1250 0.3750 0.2500  4 Ac 2.79
35 Ge 0.2500 0.6250 0.8750  8 Ac 3.44-3.51
36 Ac 0.3244 0.7888 0.4150  2 Ir 2.79-2.99
37 Ir 0.7500 0.6250 0.3750  4 Ac 2.79
38 Ir 0.2500 0.3750 0.6250  4 Ac 2.79
39 Ge 0.8750 0.1250 0.2500  8 Ac 3.44-3.51
40 Ac 0.2888 0.8738 0.9644  2 Ir 2.79-2.99
41 Ac 0.9644 0.5907 0.1756  2 Ir 2.79-2.99
42 Ac 0.8244 0.9150 0.2888  2 Ir 2.79-2.99
43 Ge 0.3750 0.7500 0.6250  8 Ac 3.44-3.51
44 Ac 0.8738 0.2888 0.4644  2 Ir 2.79-2.99
45 Ge 0.6250 0.3750 0.7500  8 Ac 3.44-3.51
46 Ac 0.7888 0.4644 0.3738  2 Ir 2.79-2.99
47 Ge 0.3750 0.6250 0.2500  8 Ac 3.44-3.51
48 Ac 0.4644 0.6756 0.0907  2 Ir 2.79-2.99
49 Ac 0.6262 0.5907 0.9150  2 Ir 2.79-2.99
50 Ir 0.0000 0.0000 0.0000  6 Ac 2.99
51 Ac 0.6756 0.2112 0.5850  2 Ir 2.79-2.99
52 Ir 0.2500 0.8750 0.1250  4 Ac 2.79
53 Ac 0.4093 0.0356 0.3244  2 Ir 2.79-2.99
54 Ac 0.9150 0.0907 0.6262  2 Ir 2.79-2.99
55 Ir 0.5000 0.0000 0.0000  6 Ac 2.99
56 Ir 0.3750 0.1250 0.7500  4 Ac 2.79
57 Ac 0.5907 0.9644 0.6756  2 Ir 2.79-2.99
58 Ge 0.8750 0.7500 0.1250  8 Ac 3.44-3.51
59 Ir 0.7500 0.1250 0.8750  4 Ac 2.79
60 Ac 0.8738 0.5850 0.9093  2 Ir 2.79-2.99
61 Ac 0.3244 0.5356 0.4093  2 Ir 2.79-2.99
62 Ac 0.7112 0.5850 0.1756  2 Ir 2.79-2.99
63 Ir 0.6250 0.8750 0.2500  4 Ac 2.79
64 Ac 0.0907 0.9150 0.1262  2 Ir 2.79-2.99
65 Ac 0.0356 0.6262 0.7112  2 Ir 2.79-2.99
66 Ac 0.1262 0.4150 0.0907  2 Ir 2.79-2.99
67 Ir 0.0000 0.5000 0.0000  6 Ac 2.99
68 Ge 0.7500 0.3750 0.1250  8 Ac 3.44-3.51
69 Ac 0.7112 0.1262 0.0356  2 Ir 2.79-2.99
70 Ac 0.4644 0.7888 0.8738  2 Ir 2.79-2.99
71 Ac 0.5356 0.2112 0.1262  2 Ir 2.79-2.99
72 Ac 0.9150 0.8244 0.7888  2 Ir 2.79-2.99
73 Ac 0.7888 0.3244 0.9150  2 Ir 2.79-2.99
74 Ge 0.6250 0.2500 0.3750  8 Ac 3.44-3.51
75 Ge 0.7500 0.8750 0.6250  8 Ac 3.44-3.51
76 Ac 0.1756 0.0907 0.9644  2 Ir 2.79-2.99
77 Ir 0.6250 0.7500 0.8750  4 Ac 2.79
78 Ac 0.0907 0.1756 0.4644  2 Ir 2.79-2.99
79 Ac 0.3738 0.9644 0.7888  2 Ir 2.79-2.99
80 Ac 0.5850 0.7112 0.6756  2 Ir 2.79-2.99

=====

No. 6
This record from Alexandria describes Ge3Sb4O12 after structural relaxation. The functional is PBE.

Output
crystal system	cubic
M_tot	0.0	μB per cell
raw formation energy	-34.4	kcal/mol of atoms

Cell lengths 9.2505, 9.2505, 9.2505 Å; angles 109.47, 109.47, 109.47 degrees
Last column: nearest neighbours and their distance in Å.
Fractional positions:
1 Sb 0.5000 0.0000 0.1979  3 O 2.04
2 O 0.2870 0.8446 0.2030  1 Ge 1.77
3 O 0.8584 0.4424 0.1554  1 Ge 1.77
4 O 0.0576 0.9160 0.7130  1 Ge 1.77
5 Ge 0.7500 0.3750 0.6250  4 O 1.77
6 O 0.2030 0.2870 0.8446  1 Ge 1.77
7 Ge 0.3750 0.6250 0.7500  4 O 1.77
8 Ge 0.1250 0.8750 0.2500  4 O 1.77
9 O 0.7970 0.5840 0.6416  1 Ge 1.77
10 O 0.8446 0.2030 0.2870  1 Ge 1.77
11 O 0.1554 0.8584 0.4424  1 Ge 1.77
12 O 0.6416 0.7970 0.5840  1 Ge 1.77
13 O 0.2970 0.1416 0.0840  1 Ge 1.77
14 Sb 0.0000 0.6979 0.5000  3 O 2.04
15 Sb 0.6979 0.5000 0.0000  3 O 2.04
16 O 0.6554 0.9424 0.3584  1 Ge 1.77
17 Ge 0.6250 0.7500 0.3750  4 O 1.77
18 O 0.7870 0.7030 0.3446  1 Ge 1.77
19 O 0.2130 0.4160 0.5576  1 Ge 1.77
20 O 0.1416 0.0840 0.2970  1 Ge 1.77
21 O 0.9160 0.7130 0.0576  1 Ge 1.77
22 Ge 0.8750 0.2500 0.1250  4 O 1.77
23 O 0.5576 0.2130 0.4160  1 Ge 1.77
24 Sb 0.1979 0.5000 0.0000  3 O 2.04
25 O 0.3584 0.6554 0.9424  1 Ge 1.77
26 Sb 0.5000 0.0000 0.6979  3 O 2.04
27 Sb 0.8021 0.8021 0.8021  3 O 2.04
28 O 0.7130 0.0576 0.9160  1 Ge 1.77
29 Ge 0.2500 0.1250 0.8750  4 O 1.77
30 Sb 0.3021 0.3021 0.3021  3 O 2.04
31 O 0.7030 0.3446 0.7870  1 Ge 1.77
32 O 0.0840 0.2970 0.1416  1 Ge 1.77
33 O 0.3446 0.7870 0.7030  1 Ge 1.77
34 O 0.5840 0.6416 0.7970  1 Ge 1.77
35 O 0.9424 0.3584 0.6554  1 Ge 1.77
36 Sb 0.0000 0.1979 0.5000  3 O 2.04
37 O 0.4160 0.5576 0.2130  1 Ge 1.77
38 O 0.4424 0.1554 0.8584  1 Ge 1.77